1.
This record from the Alexandria database describes Cu2MoOs after structural relaxation. The functional is PBE.

Structure (POSCAR):
```
Cu2MoOs
1.0
-0.790 -4.114 -0.340
2.481 -0.534 0.696
-0.589 -0.300 5.005
Cu Mo Os
2 1 1
Cartesian
0.393 -0.088 0.152
-0.326 -2.174 1.086
0.988 -0.426 2.858
0.992 -2.677 4.116
```

Calculated values
space group: Pm

***

2.
This record from the Alexandria database describes Cu2MoOs after structural relaxation. The functional is PBE.

Structure (POSCAR):
```
Cu2MoOs
1.0
3.672 0.000 0.000
0.000 3.674 0.000
0.000 0.000 4.057
Cu Mo Os
2 1 1
Cartesian
0.000 0.000 0.000
1.836 1.837 0.000
1.836 0.000 2.029
0.000 1.837 2.029
```

Calculated values
space group: P4/mmm

***

3.
This record from the Alexandria database describes CuMoOs2 after structural relaxation. The functional is PBE.

Structure (POSCAR):
```
CuMoOs2
1.0
-1.941 -0.702 -4.311
0.745 -0.390 -4.705
0.492 -4.624 -0.313
Cu Mo Os
1 1 2
Cartesian
-0.351 -2.850 -4.649
-0.181 -1.436 -2.371
0.480 -4.580 -0.357
-0.514 -4.331 -6.930
```

Calculated values
space group: Cm

***

So what do the calculations give for energy relative to the elements? Going down the list: 0.24; 0.31; 0.26 eV/atom.